# 1
VASP calculation (PBE) on crystalline LaNdGa4Ir2 at its relaxed geometry.

a b c (Å): 4.239 7.254 5.632
angles (deg): 90.00 111.44 90.00
Sites, in units of the cell vectors:
Ga (0.650, 0.306, 0.306)
Ga (0.650, 0.694, 0.306)
Ga (0.350, 0.199, 0.694)
Ga (0.350, 0.801, 0.694)
Ir (0.209, 0.500, 0.425)
Ir (0.794, 0.000, 0.579)
La (0.066, 0.000, 0.136)
Nd (0.931, 0.500, 0.862)

Properties
Final energy: -5.6483 eV/atom
Space group: No. 6

***

# 2
VASP calculation (PBE) on crystalline LaGa2IrPt at its relaxed geometry.

a b c (Å): 4.365 4.365 10.240
angles (deg): 90.00 90.00 90.00
Sites, in units of the cell vectors:
Ga (0.500, 0.000, 0.123)
Ga (0.000, 0.000, 0.500)
Ga (0.500, 0.500, 0.500)
Ga (0.000, 0.500, 0.877)
Ir (0.000, 0.000, 0.000)
Ir (0.500, 0.500, 0.000)
La (0.000, 0.500, 0.241)
La (0.500, 0.000, 0.759)
Pt (0.500, 0.000, 0.368)
Pt (0.000, 0.500, 0.632)

Properties
Final energy: -6.0755 eV/atom
Space group: No. 129

***

# 3
VASP calculation (PBE) on crystalline LaScGa4Ir2 at its relaxed geometry.

a b c (Å): 4.234 7.185 5.348
angles (deg): 90.00 113.00 90.00
Sites, in units of the cell vectors:
Ga (0.640, 0.313, 0.282)
Ga (0.640, 0.687, 0.282)
Ga (0.362, 0.211, 0.721)
Ga (0.362, 0.789, 0.721)
Ir (0.207, 0.500, 0.417)
Ir (0.797, 0.000, 0.588)
La (0.073, 0.000, 0.150)
Sc (0.919, 0.500, 0.840)

Properties
Final energy: -5.8244 eV/atom
Space group: No. 6

***

# 4
VASP calculation (PBE) on crystalline LaGaSiIr2 at its relaxed geometry.

a b c (Å): 5.971 5.971 5.971
angles (deg): 138.68 138.68 59.87
Sites, in units of the cell vectors:
Ga (0.379, 0.379, 0.000)
Ir (0.743, 0.243, 0.500)
Ir (0.243, 0.743, 0.500)
La (0.001, 0.001, 0.000)
Si (0.634, 0.634, 0.000)

Properties
Final energy: -7.1360 eV/atom
Space group: No. 107

***

# 5
VASP calculation (PBE) on crystalline LaGaSiIr2 at its relaxed geometry.

a b c (Å): 4.196 4.196 10.442
angles (deg): 90.00 90.00 90.00
Sites, in units of the cell vectors:
Ga (0.000, 0.000, 0.500)
Ga (0.500, 0.500, 0.500)
Ir (0.000, 0.000, 0.000)
Ir (0.500, 0.500, 0.000)
Ir (0.500, 0.000, 0.354)
Ir (0.000, 0.500, 0.646)
La (0.000, 0.500, 0.251)
La (0.500, 0.000, 0.749)
Si (0.500, 0.000, 0.122)
Si (0.000, 0.500, 0.878)

Properties
Final energy: -7.1582 eV/atom
Space group: No. 129

***

# 6
VASP calculation (PBE) on crystalline LaTaGaIr2 at its relaxed geometry.

a b c (Å): 6.339 6.339 6.339
angles (deg): 140.57 140.57 56.98
Sites, in units of the cell vectors:
Ga (0.384, 0.384, 0.000)
Ir (0.749, 0.249, 0.500)
Ir (0.249, 0.749, 0.500)
La (0.991, 0.991, 0.000)
Ta (0.628, 0.628, 0.000)

Properties
Final energy: -7.9797 eV/atom
Space group: No. 107

***

# 7
VASP calculation (PBE) on crystalline LaTbGa4Ir2 at its relaxed geometry.

a b c (Å): 4.217 7.254 5.534
angles (deg): 90.00 111.81 90.00
Sites, in units of the cell vectors:
Ga (0.647, 0.309, 0.299)
Ga (0.647, 0.691, 0.299)
Ga (0.353, 0.203, 0.701)
Ga (0.353, 0.797, 0.701)
Ir (0.209, 0.500, 0.425)
Ir (0.794, 0.000, 0.578)
La (0.067, 0.000, 0.138)
Tb (0.929, 0.500, 0.858)

Properties
Final energy: -5.6461 eV/atom
Space group: No. 6

***

# 8
VASP calculation (PBE) on crystalline LaZrGaIr2 at its relaxed geometry.

a b c (Å): 6.517 6.517 6.517
angles (deg): 141.45 141.45 55.66
Sites, in units of the cell vectors:
Ga (0.379, 0.379, 0.000)
Ir (0.760, 0.260, 0.500)
Ir (0.260, 0.760, 0.500)
La (0.971, 0.971, 0.000)
Zr (0.630, 0.630, 0.000)

Properties
Final energy: -7.3944 eV/atom
Space group: No. 107

***

# 9
VASP calculation (PBE) on crystalline LiGaIr at its relaxed geometry.

a b c (Å): 5.908 5.908 3.921
angles (deg): 90.00 90.00 120.00
Sites, in units of the cell vectors:
Ga (0.667, 0.333, 0.000)
Ga (0.333, 0.667, 0.000)
Ga (0.000, 0.000, 0.500)
Ir (0.567, 0.000, 0.500)
Ir (0.433, 0.433, 0.500)
Ir (0.000, 0.567, 0.500)
Li (0.241, 0.000, 0.000)
Li (0.000, 0.241, 0.000)
Li (0.759, 0.759, 0.000)

Properties
Final energy: -4.8786 eV/atom
Space group: No. 189

***

# 10
VASP calculation (PBE) on crystalline LiGaIr2 at its relaxed geometry.

a b c (Å): 4.298 4.298 4.298
angles (deg): 60.00 60.00 60.00
Sites, in units of the cell vectors:
Ga (0.500, 0.500, 0.500)
Ir (0.000, 0.000, 0.000)
Ir (0.750, 0.750, 0.750)
Li (0.250, 0.250, 0.250)

Properties
Final energy: -5.8202 eV/atom
Space group: No. 216

***

# 11
VASP calculation (PBE) on crystalline LiGa2Ir2 at its relaxed geometry.

a b c (Å): 7.237 7.237 2.886
angles (deg): 90.00 90.00 90.00
Sites, in units of the cell vectors:
Ga (0.646, 0.146, 0.000)
Ga (0.146, 0.354, 0.000)
Ga (0.854, 0.646, 0.000)
Ga (0.354, 0.854, 0.000)
Ir (0.348, 0.152, 0.500)
Ir (0.848, 0.348, 0.500)
Ir (0.152, 0.652, 0.500)
Ir (0.652, 0.848, 0.500)
Li (0.000, 0.000, 0.000)
Li (0.500, 0.500, 0.000)

Properties
Final energy: -5.5908 eV/atom
Space group: No. 127

***

# 12
VASP calculation (PBE) on crystalline LiGaIr at its relaxed geometry.

a b c (Å): 4.377 4.377 5.127
angles (deg): 90.00 90.00 120.00
Sites, in units of the cell vectors:
Ga (0.667, 0.333, 0.250)
Ga (0.333, 0.667, 0.750)
Ir (0.333, 0.667, 0.250)
Ir (0.667, 0.333, 0.750)
Li (0.000, 0.000, 0.000)
Li (0.000, 0.000, 0.500)

Properties
Final energy: -4.9736 eV/atom
Space group: No. 194

***

# 13
VASP calculation (PBE) on crystalline LiGaIr at its relaxed geometry.

a b c (Å): 4.071 4.071 4.071
angles (deg): 60.00 60.00 60.00
Sites, in units of the cell vectors:
Ga (0.000, 0.000, 0.000)
Ir (0.250, 0.250, 0.250)
Li (0.750, 0.750, 0.750)

Properties
Final energy: -4.7694 eV/atom
Space group: No. 216

***

# 14
VASP calculation (PBE) on crystalline LiGaIr at its relaxed geometry.

a b c (Å): 4.067 4.067 5.479
angles (deg): 90.00 90.00 120.00
Sites, in units of the cell vectors:
Ga (0.333, 0.667, 0.250)
Ga (0.667, 0.333, 0.750)
Ir (0.000, 0.000, 0.000)
Ir (0.000, 0.000, 0.500)
Li (0.667, 0.333, 0.250)
Li (0.333, 0.667, 0.750)

Properties
Final energy: -5.0240 eV/atom
Space group: No. 194

***

# 15
VASP calculation (PBE) on crystalline LiGaIr at its relaxed geometry.

a b c (Å): 6.848 6.848 3.048
angles (deg): 90.00 90.00 120.00
Sites, in units of the cell vectors:
Ga (0.667, 0.333, 0.000)
Ga (0.333, 0.667, 0.000)
Ga (0.000, 0.000, 0.500)
Ir (0.290, 0.000, 0.000)
Ir (0.000, 0.290, 0.000)
Ir (0.710, 0.710, 0.000)
Li (0.624, 0.000, 0.500)
Li (0.376, 0.376, 0.500)
Li (0.000, 0.624, 0.500)

Properties
Final energy: -5.0091 eV/atom
Space group: No. 189

***

# 16
VASP calculation (PBE) on crystalline Li3Ga4Ir2 at its relaxed geometry.

a b c (Å): 4.250 4.250 8.103
angles (deg): 90.00 90.00 120.00
Sites, in units of the cell vectors:
Ga (0.667, 0.333, 0.109)
Ga (0.000, 0.000, 0.328)
Ga (0.000, 0.000, 0.672)
Ga (0.333, 0.667, 0.891)
Ir (0.333, 0.667, 0.215)
Ir (0.667, 0.333, 0.785)
Li (0.000, 0.000, 0.000)
Li (0.667, 0.333, 0.442)
Li (0.333, 0.667, 0.558)

Properties
Final energy: -4.4488 eV/atom
Space group: No. 164

***

# 17
VASP calculation (PBE) on crystalline Li4MgGaIr2 at its relaxed geometry.

a b c (Å): 4.296 4.296 6.097
angles (deg): 90.00 90.00 90.00
Sites, in units of the cell vectors:
Ga (0.000, 0.000, 0.000)
Ir (0.500, 0.000, 0.233)
Ir (0.000, 0.500, 0.767)
Li (0.500, 0.500, 0.000)
Li (0.000, 0.500, 0.238)
Li (0.000, 0.000, 0.500)
Li (0.500, 0.000, 0.762)
Mg (0.500, 0.500, 0.500)

Properties
Final energy: -4.0435 eV/atom
Space group: No. 115

***

# 18
VASP calculation (PBE) on crystalline Li2MgNbGa2Ir2 at its relaxed geometry.

a b c (Å): 4.398 4.398 6.154
angles (deg): 90.00 90.00 90.00
Sites, in units of the cell vectors:
Ga (0.500, 0.500, 0.000)
Ga (0.000, 0.000, 0.500)
Ir (0.500, 0.000, 0.268)
Ir (0.000, 0.500, 0.732)
Li (0.000, 0.500, 0.235)
Li (0.500, 0.000, 0.765)
Mg (0.000, 0.000, 0.000)
Nb (0.500, 0.500, 0.500)

Properties
Final energy: -5.3947 eV/atom
Space group: No. 115

***

# 19
VASP calculation (PBE) on crystalline Li2Mg2Ga2NiIr at its relaxed geometry.

a b c (Å): 4.325 4.325 6.089
angles (deg): 90.00 90.00 90.00
Sites, in units of the cell vectors:
Ga (0.000, 0.500, 0.253)
Ga (0.500, 0.000, 0.747)
Ir (0.000, 0.000, 0.000)
Li (0.500, 0.500, 0.000)
Li (0.000, 0.000, 0.500)
Mg (0.500, 0.000, 0.257)
Mg (0.000, 0.500, 0.743)
Ni (0.500, 0.500, 0.500)

Properties
Final energy: -3.8215 eV/atom
Space group: No. 115

***

# 20
VASP calculation (PBE) on crystalline Li2Mg2Ga2IrPt at its relaxed geometry.

a b c (Å): 4.386 4.386 6.217
angles (deg): 90.00 90.00 90.00
Sites, in units of the cell vectors:
Ga (0.500, 0.000, 0.261)
Ga (0.000, 0.500, 0.739)
Ir (0.000, 0.000, 0.500)
Li (0.000, 0.000, 0.000)
Li (0.500, 0.500, 0.500)
Mg (0.000, 0.500, 0.251)
Mg (0.500, 0.000, 0.749)
Pt (0.500, 0.500, 0.000)

Properties
Final energy: -4.0715 eV/atom
Space group: No. 115